Record 1
Compound: SrPI
Source: Alexandria
Functional: PBE-GGA
Structure: relaxed

Final energy = -3.920 eV/atom
Crystal system = monoclinic
Energy above the lowest structure with this stoichiometry = 8 meV/atom
Raw formation energy = -1.04 eV/atom
SG = C2/m, No. 12

Cell: 4.097 6.576 8.876 Å, 73.21 90.00 71.85°
Atoms (fractional coordinates):
1 I 0.197 0.897 0.427
2 I 0.397 0.496 0.169
3 Sr 0.936 0.418 0.500
4 Sr 0.658 0.975 0.095
5 P 0.559 0.172 0.747
6 P 0.035 0.221 0.848

Record 2
Compound: CaTeCl6
Source: Alexandria
Functional: PBE-GGA
Structure: relaxed

Final energy = -3.243 eV/atom
Crystal system = trigonal
Energy above the lowest structure with this stoichiometry = 8 meV/atom
Raw formation energy = -1.21 eV/atom
SG = R-3, No. 148

Cell: 6.671 6.671 7.199 Å, 62.39 62.38 60.00°
Atoms (fractional coordinates):
1 Cl 0.601 0.234 0.241
2 Cl 0.924 0.601 0.241
3 Cl 0.399 0.766 0.759
4 Cl 0.234 0.923 0.241
5 Cl 0.076 0.399 0.759
6 Cl 0.766 0.077 0.759
7 Ca 0.500 0.500 0.500
8 Te 0.000 0.000 0.000

Record 3
Compound: AsAu2I
Source: Alexandria
Functional: PBE-GGA
Structure: relaxed

Final energy = -2.490 eV/atom
Crystal system = cubic
Energy above the lowest structure with this stoichiometry = 570 meV/atom
Raw formation energy = 0.70 eV/atom
SG = Fm-3m, No. 225

Cell: 5.005 5.005 5.005 Å, 60.00 60.00 60.00°
Atoms (fractional coordinates):
1 I 0.500 0.500 0.500
2 Au 0.750 0.750 0.750
3 Au 0.250 0.250 0.250
4 As 0.000 0.000 0.000

Record 4
Compound: HoThHg
Source: Alexandria
Functional: PBE-GGA
Structure: relaxed

Final energy = -4.145 eV/atom
Crystal system = trigonal
Energy above the lowest structure with this stoichiometry = 178 meV/atom
Calculated formation energy = -0.05 eV per atom
SG = P3m1, No. 156

Cell: 3.695 5.228 5.228 Å, 120.00 90.00 90.00°
Atoms (fractional coordinates):
1 Ho 0.501 0.333 0.667
2 Hg 0.498 0.667 0.333
3 Th 0.000 0.000 0.000

Record 5
Compound: La2Sm4DyHo
Source: Alexandria
Functional: PBE-GGA
Structure: relaxed

Final energy = -4.712 eV/atom
Crystal system = monoclinic
Calculated formation energy = 0.03 eV per atom
SG = P2/m, No. 10

Cell: 5.148 5.126 11.530 Å, 63.50 90.00 90.00°
Atoms (fractional coordinates):
1 Sm 0.000 0.751 0.749
2 Sm 0.000 0.249 0.251
3 Sm 0.500 0.249 0.750
4 Sm 0.500 0.751 0.250
5 La 0.000 0.000 0.000
6 La 0.500 0.000 0.500
7 Ho 0.000 0.500 0.500
8 Dy 0.500 0.500 0.000

Record 6
Compound: Ba2SrCaZn
Source: Alexandria
Functional: PBE-GGA
Structure: relaxed

Final energy = -1.754 eV/atom
Crystal system = tetragonal
Energy above the lowest structure with this stoichiometry = 0 meV/atom
Calculated formation energy = 0.01 eV per atom
SG = P4/mmm, No. 123

Cell: 6.498 6.498 6.063 Å, 90.00 90.00 90.00°
Atoms (fractional coordinates):
1 Ca 0.000 0.000 0.500
2 Sr 0.500 0.500 0.500
3 Zn 0.000 0.000 0.000
4 Ba 0.000 0.500 0.000
5 Ba 0.500 0.000 0.000

Record 7
Compound: Rb3TlBr6
Source: Alexandria
Functional: PBE-GGA
Structure: relaxed

Final energy = -2.786 eV/atom
Crystal system = monoclinic
Energy above the lowest structure with this stoichiometry = 0 meV/atom
Raw formation energy = -1.26 eV/atom
SG = P2_1/c, No. 14

Cell: 8.154 8.677 11.584 Å, 90.00 88.79 90.00°
Atoms (fractional coordinates):
1 Br 0.626 0.448 0.277
2 Br 0.723 0.176 0.947
3 Br 0.223 0.324 0.447
4 Br 0.777 0.676 0.553
5 Br 0.164 0.270 0.074
6 Br 0.126 0.052 0.777
7 Br 0.836 0.730 0.926
8 Br 0.374 0.552 0.723
9 Br 0.336 0.770 0.426
10 Br 0.277 0.824 0.053
11 Br 0.874 0.948 0.223
12 Br 0.664 0.230 0.574
13 Rb 0.529 0.924 0.756
14 Rb 0.971 0.424 0.744
15 Rb 0.000 0.000 0.500
16 Rb 0.471 0.076 0.244
17 Rb 0.500 0.500 0.000
18 Rb 0.029 0.576 0.256
19 Tl 0.000 0.000 0.000
20 Tl 0.500 0.500 0.500

Record 8
Compound: CeErIn3
Source: Alexandria
Functional: PBE-GGA
Structure: relaxed

Final energy = -3.608 eV/atom
Crystal system = tetragonal
Calculated formation energy = 0.13 eV per atom
SG = I-4m2, No. 119

Cell: 5.961 5.961 11.662 Å, 104.81 104.81 90.00°
Atoms (fractional coordinates):
1 In 0.122 0.375 0.245
2 In 0.749 0.749 0.497
3 In 0.122 0.870 0.245
4 In 0.130 0.878 0.755
5 In 0.251 0.251 0.503
6 In 0.625 0.878 0.755
7 Er 0.250 0.750 0.500
8 Er 0.000 0.000 0.000
9 Ce 0.687 0.187 0.373
10 Ce 0.813 0.313 0.627

Record 9
Compound: Mg3Ge4Pt4
Source: Alexandria
Functional: PBE-GGA
Structure: relaxed

Final energy = -4.887 eV/atom
Crystal system = orthorhombic
Calculated formation energy = -0.58 eV per atom
SG = Immm, No. 71

Cell: 3.540 7.837 8.226 Å, 118.44 102.43 90.00°
Atoms (fractional coordinates):
1 Mg 0.895 0.895 0.790
2 Mg 0.000 0.500 0.000
3 Mg 0.105 0.105 0.210
4 Pt 0.232 0.732 0.464
5 Pt 0.500 0.792 0.000
6 Pt 0.500 0.208 0.000
7 Pt 0.768 0.268 0.536
8 Ge 0.331 0.537 0.661
9 Ge 0.331 0.125 0.661
10 Ge 0.669 0.463 0.339
11 Ge 0.669 0.875 0.339

Record 10
Compound: Zn6Te7
Source: Alexandria
Functional: PBE-GGA
Structure: relaxed

Final energy = -2.109 eV/atom
Crystal system = trigonal
Raw formation energy = 0.17 eV/atom
SG = R-3m, No. 166

Cell: 8.701 8.701 8.701 Å, 52.29 52.29 52.29°
Atoms (fractional coordinates):
1 Te 0.071 0.586 0.586
2 Te 0.500 0.500 0.500
3 Te 0.414 0.414 0.929
4 Te 0.586 0.071 0.586
5 Te 0.414 0.929 0.414
6 Te 0.929 0.414 0.414
7 Te 0.586 0.586 0.071
8 Zn 0.831 0.831 0.831
9 Zn 0.943 0.943 0.943
10 Zn 0.341 0.341 0.341
11 Zn 0.169 0.169 0.169
12 Zn 0.659 0.659 0.659
13 Zn 0.057 0.057 0.057

Record 11
Compound: MgCu2Te
Source: Alexandria
Functional: PBE-GGA
Structure: relaxed

Final energy = -3.188 eV/atom
Crystal system = tetragonal
Energy above the lowest structure with this stoichiometry = 97 meV/atom
Raw formation energy = 0.04 eV/atom
SG = P4mm, No. 99

Cell: 3.682 3.681 5.399 Å, 90.00 90.00 90.00°
Atoms (fractional coordinates):
1 Te 0.500 0.500 0.759
2 Mg 0.000 0.000 0.483
3 Cu 0.500 0.500 0.242
4 Cu 0.000 0.000 0.016

Record 12
Compound: Tm2TlPb3
Source: Alexandria
Functional: PBE-GGA
Structure: relaxed

Final energy = -4.032 eV/atom
Crystal system = orthorhombic
Calculated formation energy = -0.29 eV per atom
SG = Cmmm, No. 65

Cell: 4.631 4.674 8.041 Å, 90.00 106.74 90.00°
Atoms (fractional coordinates):
1 Pb 0.674 0.000 0.348
2 Pb 0.500 0.500 0.000
3 Pb 0.326 0.000 0.652
4 Tm 0.152 0.500 0.303
5 Tm 0.848 0.500 0.697
6 Tl 0.000 0.000 0.000

What is the final energy in the eighth record? -3.608 eV/atom